! TaSi2Mo (PBEsol, relaxed); values from VASP
&SYSTEM
  ibrav = 0, nat = 4, ntyp = 3
/
ATOMIC_SPECIES
Mo 95.94 Mo.upf
Si 28.09 Si.upf
Ta 180.95 Ta.upf
CELL_PARAMETERS angstrom
3.295 0.000 0.000
0.000 3.912 0.000
0.000 0.000 4.559
ATOMIC_POSITIONS crystal
Mo 0.000 0.500 0.500
Si 0.000 0.000 0.000
Si 0.500 0.000 0.500
Ta 0.500 0.500 0.000
! - Crystal system: orthorhombic
! - Total energy: -0.3367 hartree per atom
! - Excess energy over the best structure of this formula in the dataset: 0 meV per atom
! - Calculated volume: 14.7 Å³/atom


! Cu8O7 (PBEsol, relaxed); values from VASP
&SYSTEM
  ibrav = 0, nat = 15, ntyp = 2
/
ATOMIC_SPECIES
Cu 63.55 Cu.upf
O 16.00 O.upf
CELL_PARAMETERS angstrom
5.747 0.000 0.000
-2.874 5.590 -0.061
0.000 -2.931 5.106
ATOMIC_POSITIONS crystal
Cu 0.998 0.995 0.013
Cu 0.493 0.986 0.951
Cu 0.496 0.494 0.999
Cu 0.998 0.494 0.999
Cu 0.257 0.513 0.500
Cu 0.733 0.465 0.498
Cu 0.731 0.976 0.520
Cu 0.244 0.976 0.520
O 0.192 0.383 0.136
O 0.685 0.370 0.137
O 0.802 0.605 0.868
O 0.931 0.861 0.640
O 0.309 0.617 0.855
O 0.049 0.099 0.369
O 0.543 0.085 0.395
! - Crystal system: monoclinic
! - Total energy: -0.1932 hartree per atom
! - Excess energy over the best structure of this formula in the dataset: 0 meV per atom
! - Calculated volume: 10.9 Å³/atom


! Ca5P (PBEsol, relaxed); values from VASP
&SYSTEM
  ibrav = 0, nat = 6, ntyp = 2
/
ATOMIC_SPECIES
P 30.97 P.upf
Ca 40.08 Ca.upf
CELL_PARAMETERS angstrom
3.698 0.000 0.000
1.849 6.537 -0.021
1.849 2.312 8.325
ATOMIC_POSITIONS crystal
P 0.000 0.000 0.000
Ca 0.385 0.342 0.888
Ca 0.000 0.500 0.500
Ca 0.615 0.658 0.112
Ca 0.670 0.933 0.727
Ca 0.330 0.067 0.273
! - Crystal system: monoclinic
! - Total energy: -0.1140 hartree per atom
! - Energy of formation from the pure elements: -0.360 eV per atom
! - Calculated volume: 33.6 Å³/atom


! AlRe2Hg (PBEsol, relaxed); values from VASP
&SYSTEM
  ibrav = 0, nat = 4, ntyp = 3
/
ATOMIC_SPECIES
Re 186.21 Re.upf
Hg 200.59 Hg.upf
Al 26.98 Al.upf
CELL_PARAMETERS angstrom
2.719 0.001 0.000
-0.970 2.540 0.000
0.000 0.000 9.113
ATOMIC_POSITIONS crystal
Re 0.000 0.000 0.272
Re 0.000 0.000 0.728
Hg 0.500 0.500 0.000
Al 0.500 0.500 0.500
! - Crystal system: orthorhombic
! - Total energy: -0.2712 hartree per atom
! - Energy of formation from the pure elements: 0.451 eV per atom
! - Excess energy over the best structure of this formula in the dataset: 63 meV per atom
! - Calculated volume: 15.7 Å³/atom


! YZrCu2 (PBEsol, relaxed); values from VASP
&SYSTEM
  ibrav = 0, nat = 4, ntyp = 3
/
ATOMIC_SPECIES
Cu 63.55 Cu.upf
Y 88.91 Y.upf
Zr 91.22 Zr.upf
CELL_PARAMETERS angstrom
-0.214 -3.228 -0.532
1.078 -1.271 -2.823
7.787 -2.545 2.216
ATOMIC_POSITIONS crystal
Cu 0.010 0.010 0.969
Cu 0.736 0.736 0.793
Y 0.490 0.490 0.530
Zr 0.264 0.264 0.208
! - Crystal system: trigonal
! - Total energy: -0.2174 hartree per atom
! - Energy of formation from the pure elements: 0.228 eV per atom
! - Excess energy over the best structure of this formula in the dataset: 370 meV per atom
! - Calculated volume: 19.3 Å³/atom


! FeCoPt2 (PBEsol, relaxed); values from VASP
&SYSTEM
  ibrav = 0, nat = 4, ntyp = 3
/
ATOMIC_SPECIES
Co 58.93 Co.upf
Fe 55.84 Fe.upf
Pt 195.08 Pt.upf
CELL_PARAMETERS angstrom
3.699 0.000 0.000
0.000 3.768 0.000
0.000 0.000 3.768
ATOMIC_POSITIONS crystal
Co 0.500 0.500 0.500
Fe 0.500 0.000 0.000
Pt 0.000 0.000 0.500
Pt 0.000 0.500 0.000
! - Crystal system: tetragonal
! - Total energy: -0.2871 hartree per atom
! - Energy of formation from the pure elements: -0.157 eV per atom
! - Calculated volume: 13.1 Å³/atom


! Sr2TeBr (PBEsol, relaxed); values from VASP
&SYSTEM
  ibrav = 0, nat = 4, ntyp = 3
/
ATOMIC_SPECIES
Sr 87.62 Sr.upf
Te 127.60 Te.upf
Br 79.90 Br.upf
CELL_PARAMETERS angstrom
-3.595 1.392 1.975
-2.264 -3.929 -1.352
3.634 -3.613 4.413
ATOMIC_POSITIONS crystal
Sr 0.986 0.500 0.971
Sr 0.250 0.000 0.499
Te 0.514 0.000 0.027
Br 0.751 0.500 0.502
! - Crystal system: orthorhombic
! - Total energy: -0.1379 hartree per atom
! - Excess energy over the best structure of this formula in the dataset: 0 meV per atom
! - Calculated volume: 32.8 Å³/atom


! MnHgW (PBEsol, relaxed); values from VASP
&SYSTEM
  ibrav = 0, nat = 3, ntyp = 3
/
ATOMIC_SPECIES
Hg 200.59 Hg.upf
Mn 54.94 Mn.upf
W 183.84 W.upf
CELL_PARAMETERS angstrom
-1.465 2.471 -0.527
-0.116 -1.230 2.647
5.215 3.486 1.848
ATOMIC_POSITIONS crystal
Hg 0.000 0.000 0.988
Mn 0.333 0.667 0.640
W 0.667 0.333 0.372
! - Crystal system: trigonal
! - Total energy: -0.2755 hartree per atom
! - Energy of formation from the pure elements: 0.548 eV per atom
! - Excess energy over the best structure of this formula in the dataset: 69 meV per atom
! - Calculated volume: 16.1 Å³/atom


! FePSe (PBEsol, relaxed); values from VASP
&SYSTEM
  ibrav = 0, nat = 3, ntyp = 3
/
ATOMIC_SPECIES
Fe 55.84 Fe.upf
P 30.97 P.upf
Se 78.96 Se.upf
CELL_PARAMETERS angstrom
-2.544 0.002 1.116
-0.573 -2.386 -1.303
3.543 -1.758 4.624
ATOMIC_POSITIONS crystal
Fe 0.005 0.005 0.011
P 0.623 0.623 0.246
Se 0.371 0.371 0.743
! - Crystal system: tetragonal
! - Total energy: -0.2287 hartree per atom
! - Calculated volume: 14.8 Å³/atom


! P2OsSe (PBEsol, relaxed); values from VASP
&SYSTEM
  ibrav = 0, nat = 4, ntyp = 3
/
ATOMIC_SPECIES
Os 190.23 Os.upf
P 30.97 P.upf
Se 78.96 Se.upf
CELL_PARAMETERS angstrom
-1.112 -2.488 -3.368
-1.949 -3.811 0.672
-4.177 -0.509 -1.032
ATOMIC_POSITIONS crystal
Os 0.500 0.500 0.500
P 0.000 0.000 0.000
P 0.750 0.750 0.750
Se 0.250 0.250 0.250
! - Crystal system: cubic
! - Total energy: -0.2321 hartree per atom
! - Calculated volume: 14.4 Å³/atom


! ZrAl3Ni2 (PBEsol, relaxed); values from VASP
&SYSTEM
  ibrav = 0, nat = 6, ntyp = 3
/
ATOMIC_SPECIES
Al 26.98 Al.upf
Ni 58.69 Ni.upf
Zr 91.22 Zr.upf
CELL_PARAMETERS angstrom
-0.083 2.955 -2.443
-3.603 1.105 1.458
0.714 3.756 4.518
ATOMIC_POSITIONS crystal
Al 0.000 0.320 0.361
Al 0.000 0.680 0.639
Al 0.500 0.500 0.000
Ni 0.500 0.170 0.661
Ni 0.500 0.830 0.339
Zr 0.000 0.000 0.000
! - Crystal system: orthorhombic
! - Total energy: -0.2212 hartree per atom
! - Energy of formation from the pure elements: -0.407 eV per atom
! - Excess energy over the best structure of this formula in the dataset: 181 meV per atom
! - Calculated volume: 14.4 Å³/atom


! Al2IrAu (PBEsol, relaxed); values from VASP
&SYSTEM
  ibrav = 0, nat = 4, ntyp = 3
/
ATOMIC_SPECIES
Ir 192.22 Ir.upf
Au 196.97 Au.upf
Al 26.98 Al.upf
CELL_PARAMETERS angstrom
3.045 0.000 0.000
0.000 4.387 -0.016
-1.522 -1.184 4.398
ATOMIC_POSITIONS crystal
Ir 0.261 0.820 0.522
Au 0.494 0.442 0.988
Al 0.995 0.938 0.990
Al 0.750 0.300 0.500
! - Crystal system: monoclinic
! - Total energy: -0.2234 hartree per atom
! - Energy of formation from the pure elements: -0.596 eV per atom
! - Calculated volume: 14.7 Å³/atom